1.
Below is Ac3AgPd3 after structural relaxation, with properties calculated at the PBE level.

The structure in POSCAR format:
```
Ac3AgPd3
1.0
6.074 0.000 0.000
0.000 9.187 0.000
0.000 -4.594 7.956
Ac Ag Pd
6 2 6
direct
0.750 0.945 0.314 Ac
0.750 0.369 0.055 Ac
0.250 0.055 0.686 Ac
0.250 0.314 0.369 Ac
0.250 0.631 0.945 Ac
0.750 0.686 0.631 Ac
0.750 0.333 0.667 Ag
0.250 0.667 0.333 Ag
0.750 0.045 0.691 Pd
0.250 0.955 0.309 Pd
0.250 0.353 0.045 Pd
0.750 0.647 0.955 Pd
0.250 0.691 0.647 Pd
0.750 0.309 0.353 Pd
```

Results
total moment: 0.00 Bohr magnetons per cell
calculated formation energy: -0.544 eV/atom
offset from the most stable computed form: 13.40 kJ/mol of atoms

2.
Below is BaNi2Pb after structural relaxation, with properties calculated at the PBE level.

The structure in POSCAR format:
```
BaNi2Pb
1.0
-5.602 -0.910 1.968
-0.611 -3.076 5.123
2.220 4.887 -2.695
Pb Ni Ba
1 2 1
direct
0.544 0.544 0.000 Pb
0.937 0.937 0.000 Ni
0.771 0.271 0.500 Ni
0.248 0.748 0.500 Ba
```

Results
total moment: 0.00 Bohr magnetons per cell
calculated formation energy: 0.261 eV/atom
offset from the most stable computed form: 33.97 kJ/mol of atoms

3.
Below is Zn3CuP after structural relaxation, with properties calculated at the PBE level.

The structure in POSCAR format:
```
Zn3CuP
1.0
-1.231 -4.439 0.780
3.673 -1.457 -2.494
2.613 -0.044 3.873
P Cu Zn
1 1 3
direct
0.000 0.000 0.000 P
0.500 0.500 0.500 Cu
0.000 0.500 0.000 Zn
0.000 0.000 0.500 Zn
0.500 0.000 0.000 Zn
```

Results
total moment: 0.00 Bohr magnetons per cell
calculated formation energy: 0.571 eV/atom